Material: GaWIO2
Method: DFT, PBE+U
State: relaxed

Its polymorph energy (0 for the lowest one) is 0 kJ/mol of formula units. Its crystal system is tetragonal.

Unit cell a=4.0629 b=4.0629 c=6.3679 alpha=90.00 beta=90.00 gamma=90.00
With the nearest neighbours (Å) after each atom.
Fractional positions:
Ga (0.0000, 0.0000, 0.0000)  4 I 2.87
W (0.5000, 0.5000, 0.5000)  4 O 2.03
I (0.5000, 0.5000, 0.0000)  4 Ga 2.87, 2 W 3.18
O (0.0000, 0.5000, 0.5000)  2 W 2.03
O (0.5000, 0.0000, 0.5000)  2 W 2.03